1.
Er6Pd5Au after structural relaxation, computed with PBE.

Lattice parameters (Å, degrees): 6.755 6.755 7.145 98.18 98.18 116.18
Sites, in units of the cell vectors:
Er (0.056, 0.403, 0.724)
Er (0.212, 0.212, 0.214)
Er (0.403, 0.056, 0.724)
Er (0.597, 0.944, 0.276)
Er (0.788, 0.788, 0.786)
Er (0.944, 0.597, 0.276)
Pd (0.000, 0.000, 0.500)
Pd (0.191, 0.809, 0.000)
Pd (0.367, 0.633, 0.500)
Pd (0.633, 0.367, 0.500)
Pd (0.809, 0.191, 0.000)
Au (0.500, 0.500, 0.000)

Results
ΔH_f (0 K) in eV per atom: -0.7606
VASP energy in eV/atom: -5.48
V in Å³ per cell: 282

=====

2.
Er4Pd2Au after structural relaxation, computed with PBE.

Lattice parameters (Å, degrees): 8.578 8.578 8.578 33.23 33.23 33.23
Sites, in units of the cell vectors:
Er (0.123, 0.123, 0.123)
Er (0.373, 0.373, 0.373)
Er (0.627, 0.627, 0.627)
Er (0.877, 0.877, 0.877)
Pd (0.254, 0.254, 0.254)
Pd (0.746, 0.746, 0.746)
Au (0.500, 0.500, 0.500)

Results
ΔH_f (0 K) in eV per atom: -0.7351
VASP energy in eV/atom: -5.29
V in Å³ per cell: 169

=====

3.
ErPd6Au12 after structural relaxation, computed with PBE.

Lattice parameters (Å, degrees): 7.243 7.243 7.243 102.80 102.80 102.80
Sites, in units of the cell vectors:
Er (0.000, 0.000, 0.000)
Pd (0.165, 0.166, 0.419)
Pd (0.166, 0.419, 0.165)
Pd (0.419, 0.165, 0.166)
Pd (0.581, 0.835, 0.834)
Pd (0.834, 0.581, 0.835)
Pd (0.835, 0.834, 0.581)
Au (0.000, 0.262, 0.738)
Au (0.000, 0.738, 0.262)
Au (0.192, 0.584, 0.583)
Au (0.262, 0.000, 0.738)
Au (0.262, 0.738, 0.000)
Au (0.416, 0.417, 0.808)
Au (0.417, 0.808, 0.416)
Au (0.583, 0.192, 0.584)
Au (0.584, 0.583, 0.192)
Au (0.738, 0.000, 0.262)
Au (0.738, 0.262, 0.000)
Au (0.808, 0.416, 0.417)

Results
ΔH_f (0 K) in eV per atom: -0.1208
VASP energy in eV/atom: -4.07
V in Å³ per cell: 346

=====

4.
Er4PdAu3 after structural relaxation, computed with PBE.

Lattice parameters (Å, degrees): 3.696 4.644 10.739 90.00 90.00 90.00
Sites, in units of the cell vectors:
Er (0.000, 0.000, 0.000)
Er (0.000, 0.500, 0.271)
Er (0.500, 0.000, 0.489)
Er (0.500, 0.500, 0.774)
Pd (0.500, 0.000, 0.221)
Au (0.000, 0.000, 0.724)
Au (0.000, 0.500, 0.544)
Au (0.500, 0.500, 0.048)

Results
ΔH_f (0 K) in eV per atom: -0.9162
VASP energy in eV/atom: -5.08
V in Å³ per cell: 184

=====

5.
Er5PdAu4 after structural relaxation, computed with PBE.

Lattice parameters (Å, degrees): 3.534 3.534 17.930 90.00 90.00 90.00
Sites, in units of the cell vectors:
Er (0.000, 0.000, 0.000)
Er (0.000, 0.000, 0.203)
Er (0.000, 0.000, 0.404)
Er (0.000, 0.000, 0.596)
Er (0.000, 0.000, 0.797)
Pd (0.500, 0.500, 0.500)
Au (0.500, 0.500, 0.101)
Au (0.500, 0.500, 0.303)
Au (0.500, 0.500, 0.697)
Au (0.500, 0.500, 0.899)

Results
ΔH_f (0 K) in eV per atom: -0.8911
VASP energy in eV/atom: -5.00
V in Å³ per cell: 224

=====

6.
Er2Pd5Au12 after structural relaxation, computed with PBE.

Lattice parameters (Å, degrees): 7.554 7.554 6.771 96.41 96.41 70.13
Sites, in units of the cell vectors:
Er (0.243, 0.757, 0.000)
Er (0.757, 0.243, 0.000)
Pd (0.000, 0.000, 0.500)
Pd (0.231, 0.231, 0.512)
Pd (0.356, 0.356, 0.885)
Pd (0.644, 0.644, 0.115)
Pd (0.769, 0.769, 0.488)
Au (0.079, 0.433, 0.179)
Au (0.129, 0.129, 0.855)
Au (0.162, 0.626, 0.572)
Au (0.374, 0.838, 0.428)
Au (0.433, 0.079, 0.179)
Au (0.450, 0.450, 0.288)
Au (0.550, 0.550, 0.712)
Au (0.567, 0.921, 0.821)
Au (0.626, 0.162, 0.572)
Au (0.838, 0.374, 0.428)
Au (0.871, 0.871, 0.145)
Au (0.921, 0.567, 0.821)

Results
ΔH_f (0 K) in eV per atom: -0.3002
VASP energy in eV/atom: -4.22
V in Å³ per cell: 360

=====

7.
Er2PdAu3 after structural relaxation, computed with PBE.

Lattice parameters (Å, degrees): 8.014 8.014 8.014 122.61 75.46 135.41
Sites, in units of the cell vectors:
Er (0.153, 0.185, 0.339)
Er (0.347, 0.685, 0.032)
Er (0.653, 0.315, 0.968)
Er (0.847, 0.815, 0.661)
Pd (0.000, 0.500, 0.500)
Pd (0.500, 0.000, 0.500)
Au (0.064, 0.750, 0.314)
Au (0.250, 0.250, 0.000)
Au (0.436, 0.750, 0.686)
Au (0.564, 0.250, 0.314)
Au (0.750, 0.750, 0.000)
Au (0.936, 0.250, 0.686)

Results
ΔH_f (0 K) in eV per atom: -0.4764
VASP energy in eV/atom: -4.50
V in Å³ per cell: 297

=====

8.
ErPdAu6 after structural relaxation, computed with PBE.

Lattice parameters (Å, degrees): 4.788 5.987 5.987 60.17 90.00 90.00
Sites, in units of the cell vectors:
Er (0.000, 0.000, 0.000)
Pd (0.500, 0.332, 0.332)
Au (0.000, 0.005, 0.497)
Au (0.000, 0.497, 0.005)
Au (0.000, 0.497, 0.497)
Au (0.500, 0.340, 0.829)
Au (0.500, 0.829, 0.340)
Au (0.500, 0.830, 0.830)

Results
ΔH_f (0 K) in eV per atom: -0.3469
VASP energy in eV/atom: -4.02
V in Å³ per cell: 149

=====

9.
Er3Pd5Au after structural relaxation, computed with PBE.

Lattice parameters (Å, degrees): 8.352 8.352 5.696 90.00 90.00 120.00
Sites, in units of the cell vectors:
Er (0.000, 0.349, 0.250)
Er (0.000, 0.651, 0.750)
Er (0.349, 0.000, 0.250)
Er (0.349, 0.349, 0.750)
Er (0.651, 0.000, 0.750)
Er (0.651, 0.651, 0.250)
Pd (0.000, 0.320, 0.750)
Pd (0.000, 0.680, 0.250)
Pd (0.320, 0.000, 0.750)
Pd (0.320, 0.320, 0.250)
Pd (0.333, 0.667, 0.000)
Pd (0.333, 0.667, 0.500)
Pd (0.667, 0.333, 0.000)
Pd (0.667, 0.333, 0.500)
Pd (0.680, 0.000, 0.250)
Pd (0.680, 0.680, 0.750)
Au (0.000, 0.000, 0.000)
Au (0.000, 0.000, 0.500)

Results
ΔH_f (0 K) in eV per atom: -0.8739
VASP energy in eV/atom: -5.64
V in Å³ per cell: 344

=====

10.
Er6Pd5Au after structural relaxation, computed with PBE.

Lattice parameters (Å, degrees): 7.783 7.783 7.033 90.00 90.00 143.02
Sites, in units of the cell vectors:
Er (0.000, 0.000, 0.247)
Er (0.000, 0.000, 0.753)
Er (0.332, 0.668, 0.248)
Er (0.332, 0.668, 0.752)
Er (0.668, 0.332, 0.248)
Er (0.668, 0.332, 0.752)
Pd (0.165, 0.835, 0.000)
Pd (0.169, 0.831, 0.500)
Pd (0.500, 0.500, 0.000)
Pd (0.831, 0.169, 0.500)
Pd (0.835, 0.165, 0.000)
Au (0.500, 0.500, 0.500)

Results
ΔH_f (0 K) in eV per atom: -0.9093
VASP energy in eV/atom: -5.63
V in Å³ per cell: 256

=====

11.
ErPd12Au6 after structural relaxation, computed with PBE.

Lattice parameters (Å, degrees): 7.084 7.084 7.084 101.95 101.95 101.95
Sites, in units of the cell vectors:
Er (0.000, 0.000, 0.000)
Pd (0.000, 0.260, 0.740)
Pd (0.000, 0.740, 0.260)
Pd (0.185, 0.590, 0.590)
Pd (0.260, 0.000, 0.740)
Pd (0.260, 0.740, 0.000)
Pd (0.410, 0.410, 0.815)
Pd (0.410, 0.815, 0.410)
Pd (0.590, 0.185, 0.590)
Pd (0.590, 0.590, 0.185)
Pd (0.740, 0.000, 0.260)
Pd (0.740, 0.260, 0.000)
Pd (0.815, 0.410, 0.410)
Au (0.170, 0.170, 0.430)
Au (0.170, 0.430, 0.170)
Au (0.430, 0.170, 0.170)
Au (0.570, 0.830, 0.830)
Au (0.830, 0.570, 0.830)
Au (0.830, 0.830, 0.570)

Results
ΔH_f (0 K) in eV per atom: -0.1231
VASP energy in eV/atom: -4.68
V in Å³ per cell: 328

=====

12.
ErPd2Au2 after structural relaxation, computed with PBE.

Lattice parameters (Å, degrees): 4.646 4.646 5.117 108.35 108.35 64.84
Sites, in units of the cell vectors:
Er (0.000, 0.000, 0.000)
Pd (0.206, 0.206, 0.612)
Pd (0.794, 0.794, 0.388)
Au (0.404, 0.404, 0.214)
Au (0.596, 0.596, 0.786)

Results
ΔH_f (0 K) in eV per atom: -0.5940
VASP energy in eV/atom: -4.89
V in Å³ per cell: 93

=====

13.
Er2Pd6Au after structural relaxation, computed with PBE.

Lattice parameters (Å, degrees): 5.628 5.628 6.167 90.11 90.11 59.95
Sites, in units of the cell vectors:
Er (0.167, 0.167, 0.170)
Er (0.833, 0.833, 0.830)
Pd (0.150, 0.675, 0.326)
Pd (0.325, 0.325, 0.673)
Pd (0.325, 0.850, 0.674)
Pd (0.675, 0.150, 0.326)
Pd (0.675, 0.675, 0.327)
Pd (0.850, 0.325, 0.674)
Au (0.500, 0.500, 0.000)

Results
ΔH_f (0 K) in eV per atom: -0.6167
VASP energy in eV/atom: -5.46
V in Å³ per cell: 169

=====

14.
Er2Pd4Au3 after structural relaxation, computed with PBE.

Lattice parameters (Å, degrees): 4.236 5.050 8.789 104.94 90.06 114.74
Sites, in units of the cell vectors:
Er (0.169, 0.338, 0.222)
Er (0.831, 0.662, 0.778)
Pd (0.166, 0.332, 0.893)
Pd (0.499, 0.999, 0.669)
Pd (0.501, 0.001, 0.331)
Pd (0.834, 0.668, 0.107)
Au (0.160, 0.322, 0.556)
Au (0.500, 0.000, 0.000)
Au (0.840, 0.678, 0.444)

Results
ΔH_f (0 K) in eV per atom: -0.7437
VASP energy in eV/atom: -5.16
V in Å³ per cell: 164

=====

15.
ErPdAu3 after structural relaxation, computed with PBE.

Lattice parameters (Å, degrees): 4.957 5.630 7.303 90.00 109.72 90.00
Sites, in units of the cell vectors:
Er (0.104, 0.250, 0.208)
Er (0.896, 0.750, 0.792)
Pd (0.124, 0.750, 0.249)
Pd (0.876, 0.250, 0.751)
Au (0.308, 0.501, 0.616)
Au (0.308, 0.999, 0.616)
Au (0.490, 0.250, 0.975)
Au (0.510, 0.750, 0.025)
Au (0.692, 0.001, 0.384)
Au (0.692, 0.499, 0.384)

Results
ΔH_f (0 K) in eV per atom: -0.5445
VASP energy in eV/atom: -4.46
V in Å³ per cell: 192

=====

16.
Er4Pd2Au3 after structural relaxation, computed with PBE.

Lattice parameters (Å, degrees): 4.856 4.856 9.405 90.04 90.04 59.99
Sites, in units of the cell vectors:
Er (0.000, 0.000, 0.165)
Er (0.000, 0.000, 0.835)
Er (0.333, 0.333, 0.616)
Er (0.667, 0.667, 0.384)
Pd (0.333, 0.333, 0.308)
Pd (0.667, 0.667, 0.692)
Au (0.000, 0.000, 0.500)
Au (0.333, 0.333, 0.989)
Au (0.667, 0.667, 0.011)

Results
ΔH_f (0 K) in eV per atom: -0.8159
VASP energy in eV/atom: -5.09
V in Å³ per cell: 192

=====

17.
ErPd8Au2 after structural relaxation, computed with PBE.

Lattice parameters (Å, degrees): 6.834 6.834 4.348 90.00 90.00 106.03
Sites, in units of the cell vectors:
Er (0.000, 0.000, 0.000)
Pd (0.035, 0.303, 0.500)
Pd (0.245, 0.755, 0.000)
Pd (0.303, 0.035, 0.500)
Pd (0.332, 0.332, 0.000)
Pd (0.668, 0.668, 0.000)
Pd (0.697, 0.965, 0.500)
Pd (0.755, 0.245, 0.000)
Pd (0.965, 0.697, 0.500)
Au (0.377, 0.623, 0.500)
Au (0.623, 0.377, 0.500)

Results
ΔH_f (0 K) in eV per atom: -0.1710
VASP energy in eV/atom: -4.96
V in Å³ per cell: 195

=====

18.
ErPdAu6 after structural relaxation, computed with PBE.

Lattice parameters (Å, degrees): 5.097 5.097 8.529 114.81 114.81 49.02
Sites, in units of the cell vectors:
Er (0.000, 0.000, 0.000)
Pd (0.000, 0.000, 0.500)
Au (0.247, 0.247, 0.381)
Au (0.247, 0.247, 0.865)
Au (0.495, 0.495, 0.253)
Au (0.505, 0.505, 0.747)
Au (0.753, 0.753, 0.135)
Au (0.753, 0.753, 0.619)

Results
ΔH_f (0 K) in eV per atom: -0.3846
VASP energy in eV/atom: -4.06
V in Å³ per cell: 148

=====

19.
ErPd6Au3 after structural relaxation, computed with PBE.

Lattice parameters (Å, degrees): 8.813 4.216 9.203 90.00 93.53 90.00
Sites, in units of the cell vectors:
Er (0.066, 0.250, 0.375)
Er (0.934, 0.750, 0.625)
Pd (0.050, 0.750, 0.908)
Pd (0.145, 0.250, 0.699)
Pd (0.159, 0.750, 0.202)
Pd (0.246, 0.750, 0.506)
Pd (0.362, 0.250, 0.301)
Pd (0.454, 0.750, 0.101)
Pd (0.546, 0.250, 0.899)
Pd (0.638, 0.750, 0.699)
Pd (0.754, 0.250, 0.494)
Pd (0.841, 0.250, 0.798)
Pd (0.855, 0.750, 0.301)
Pd (0.950, 0.250, 0.092)
Au (0.251, 0.250, 0.007)
Au (0.343, 0.750, 0.806)
Au (0.447, 0.250, 0.601)
Au (0.553, 0.750, 0.399)
Au (0.657, 0.250, 0.194)
Au (0.749, 0.750, 0.993)

Results
ΔH_f (0 K) in eV per atom: -0.3506
VASP energy in eV/atom: -4.91
V in Å³ per cell: 341

=====

20.
Er2Pd9Au after structural relaxation, computed with PBE.

Lattice parameters (Å, degrees): 4.058 4.058 12.305 90.00 90.00 90.00
Sites, in units of the cell vectors:
Er (0.000, 0.000, 0.170)
Er (0.000, 0.000, 0.830)
Pd (0.000, 0.500, 0.000)
Pd (0.000, 0.500, 0.337)
Pd (0.000, 0.500, 0.663)
Pd (0.500, 0.000, 0.000)
Pd (0.500, 0.000, 0.337)
Pd (0.500, 0.000, 0.663)
Pd (0.500, 0.500, 0.168)
Pd (0.500, 0.500, 0.500)
Pd (0.500, 0.500, 0.832)
Au (0.000, 0.000, 0.500)

Results
ΔH_f (0 K) in eV per atom: -0.6071
VASP energy in eV/atom: -5.54
V in Å³ per cell: 203